First-principles (PBE with a Hubbard U) data for a geometry-optimized BiMoO5 structure, as listed in Alexandria via LeMat-Bulk.

```
BiMoO5
1.0
-4.961 0.848 -2.471
-3.672 -3.319 2.634
-4.458 4.172 4.531
O Bi Mo
10 2 2
direct
0.768 0.771 0.615
0.229 0.232 0.885
0.001 0.999 0.250
0.702 0.300 0.499
0.999 0.001 0.750
0.300 0.702 0.999
0.700 0.298 0.001
0.298 0.700 0.501
0.232 0.229 0.385
0.771 0.768 0.115
0.500 0.500 0.250
0.500 0.500 0.750
0.000 0.000 0.000
0.000 0.000 0.500
```

DOS at the Fermi energy ... 0.321 states/eV per atom
E above lowest polymorph ... 1.98 kcal/mol of atoms
Space group ... No. 15
V ... 14.84 Å³ per atom
E_tot ... -6.306 eV per atom